Compound: PaFe2Pb3O9
Source: the Alexandria database
Functional: PBE with a Hubbard U
Structure: optimized geometry

The uncorrected energy is -6.817 eV/atom. The density of states at the Fermi level is 0.258 states/eV/atom.

Cell lengths 5.7792, 5.7792, 7.3184 Å; angles 90.00, 90.00, 120.00 degrees
Atoms (fractional coordinates):
Pa 0.0000 0.0000 0.0000
Fe 0.3333 0.6667 0.6717
Fe 0.6667 0.3333 0.3283
Pb 0.0000 0.0000 0.5000
Pb 0.3333 0.6667 0.2418
Pb 0.6667 0.3333 0.7582
O 0.0000 0.5000 0.5000
O 0.1685 0.3370 0.8159
O 0.1685 0.8315 0.8159
O 0.3370 0.1685 0.1841
O 0.5000 0.0000 0.5000
O 0.5000 0.5000 0.5000
O 0.6630 0.8315 0.8159
O 0.8315 0.1685 0.1841
O 0.8315 0.6630 0.1841